Entry 1:
Material: TaNiP2
Method: DFT, PBE
State: relaxed

a b c (Å): 3.558 3.558 5.792
angles (deg): 103.92 103.92 56.80
Fractional coordinates of all 4 atoms:
Ta (0.000, 0.000, 0.000)
Ni (0.500, 0.500, 0.500)
P (0.250, 0.250, 0.722)
P (0.750, 0.750, 0.278)

Space group   C2/m (12)
Total energy   -7.326 eV per atom
Calculated formation energy   -0.21 eV/atom
Total moment   0.00 μB per formula unit

Entry 2:
Material: TaNiP2
Method: DFT, PBE
State: relaxed

a b c (Å): 4.338 4.338 4.338
angles (deg): 128.03 114.78 87.98
Fractional coordinates of all 4 atoms:
Ta (0.000, 0.000, 0.000)
Ni (0.500, 0.500, 0.000)
P (0.294, 0.794, 0.500)
P (0.706, 0.206, 0.500)

Space group   Immm (71)
Total energy   -7.337 eV per atom
Calculated formation energy   -0.22 eV/atom
Total moment   0.00 μB per formula unit

Entry 3:
Material: Ta5Ni4P4
Method: DFT, PBE
State: relaxed

a b c (Å): 7.261 7.261 7.261
angles (deg): 93.38 93.38 151.89
Fractional coordinates of all 13 atoms:
Ta (0.000, 0.000, 0.000)
Ta (0.305, 0.369, 0.674)
Ta (0.369, 0.695, 0.064)
Ta (0.631, 0.305, 0.936)
Ta (0.695, 0.631, 0.326)
Ni (0.111, 0.587, 0.698)
Ni (0.413, 0.111, 0.523)
Ni (0.587, 0.889, 0.477)
Ni (0.889, 0.413, 0.302)
P (0.055, 0.259, 0.314)
P (0.259, 0.945, 0.203)
P (0.741, 0.055, 0.797)
P (0.945, 0.741, 0.686)

Space group   I4/m (87)
Total energy   -8.789 eV per atom
Calculated formation energy   -0.79 eV/atom
Total moment   0.00 μB per formula unit

Question: Which formula does entry 3 have?
Answer: Ta5Ni4P4